Record 1
First-principles (PBE-GGA) data for Gd3Ni5Te12 after structural relaxation, as listed in Alexandria.

The electronic total energy is -5.955 eV per atom. For the theoretical density, the calculation gives 6.9 Mg/m³. For the calculated volume, the calculation gives 27.5 A^3/atom. The magnetic moment comes out at 1.016 μB per atom. The formation energy without anion corrections comes out at -0.513 eV per atom. As for the density of states at the Fermi level: 144.904 states/eV/cell.

It has space group Ia-3d (No. 230), with a = 16.383 Å, b = 16.383 Å, c = 16.383 Å, α = 90.00°, β = 90.00° and γ = 90.00°. The inequivalent atoms are Gd at (0.000, 0.250, 0.125), Ni at (0.000, 0.000, 0.000), Ni at (0.000, 0.250, 0.375) and Te at (0.030, 0.056, 0.646).

=====

Record 2
First-principles (PBE-GGA) data for TlHgW2 after structural relaxation, as listed in Alexandria.

The electronic total energy is -6.001 eV per atom. For the theoretical density, the calculation gives 17.0 Mg/m³. For the calculated volume, the calculation gives 18.9 A^3/atom. The magnetic moment comes out at 0.086 μB per atom. The formation energy comes out at 1.14 eV per atom. As for the density of states at the Fermi level: 4.260 states/eV/cell.

It has space group P4/mmm (No. 123), with a = 4.035 Å, b = 4.035 Å, c = 4.638 Å, α = 90.00°, β = 90.00° and γ = 90.00°. The inequivalent atoms are Tl at (0.000, 0.000, 0.000), Hg at (0.500, 0.500, 0.000) and W at (0.000, 0.500, 0.500).

=====

Record 3
First-principles (PBE-GGA) data for Ca2CdB after structural relaxation, as listed in Alexandria.

The electronic total energy is -2.441 eV per atom. For the theoretical density, the calculation gives 3.2 Mg/m³. For the calculated volume, the calculation gives 26.6 A^3/atom. The magnetic moment comes out at 0.000 μB per atom. The formation energy comes out at 0.46 eV per atom. As for the density of states at the Fermi level: 16.609 states/eV/cell.

It has space group I-42d (No. 122), with a = 7.907 Å, b = 7.907 Å, c = 6.817 Å, α = 90.00°, β = 90.00° and γ = 90.00°. The inequivalent atoms are Ca at (0.182, 0.250, 0.125), Cd at (0.000, 0.000, 0.500) and B at (0.000, 0.000, 0.000).

=====

Record 4
First-principles (PBE-GGA) data for Cs2KNaS2 after structural relaxation, as listed in Alexandria.

The electronic total energy is -3.101 eV per atom. For the theoretical density, the calculation gives 3.2 Mg/m³. For the calculated volume, the calculation gives 34.3 A^3/atom. The magnetic moment comes out at 0.000 μB per atom. The formation energy without anion corrections comes out at -1.038 eV per atom. As for the density of states at the Fermi level: 0.000 states/eV/cell.

It has space group Ibam (No. 72), with a = 7.293 Å, b = 16.034 Å, c = 7.040 Å, α = 90.00°, β = 90.00° and γ = 90.00°. The inequivalent atoms are Cs at (0.230, 0.178, 0.000), K at (0.000, 0.500, 0.250), Na at (0.000, 0.000, 0.250) and S at (0.224, 0.103, 0.500).

=====

Record 5
First-principles (PBE-GGA) data for Be2HgPb after structural relaxation, as listed in Alexandria.

The electronic total energy is -1.925 eV per atom. For the theoretical density, the calculation gives 8.9 Mg/m³. For the calculated volume, the calculation gives 19.9 A^3/atom. The magnetic moment comes out at 0.000 μB per atom. The formation energy comes out at 0.94 eV per atom. As for the density of states at the Fermi level: 12.018 states/eV/cell.

It has space group F-43m (No. 216), with a = 6.825 Å, b = 6.825 Å, c = 6.825 Å, α = 90.00°, β = 90.00° and γ = 90.00°. The inequivalent atoms are Be at (0.000, 0.000, 0.000), Be at (0.250, 0.250, 0.250), Hg at (0.250, 0.250, 0.750) and Pb at (0.000, 0.000, 0.500).

=====

Record 6
First-principles (PBE-GGA) data for PmMgNiPb after structural relaxation, as listed in Alexandria.

The electronic total energy is -4.112 eV per atom. For the theoretical density, the calculation gives 8.0 Mg/m³. For the calculated volume, the calculation gives 22.7 A^3/atom. The magnetic moment comes out at 0.000 μB per atom. The formation energy comes out at -0.15 eV per atom. As for the density of states at the Fermi level: 13.711 states/eV/cell.

It has space group F-43m (No. 216), with a = 7.130 Å, b = 7.130 Å, c = 7.130 Å, α = 90.00°, β = 90.00° and γ = 90.00°. The inequivalent atoms are Pm at (0.000, 0.000, 0.000), Mg at (0.000, 0.000, 0.500), Ni at (0.250, 0.250, 0.250) and Pb at (0.250, 0.250, 0.750).